DFT (GGA-PBE) results for a geometry-optimized CsFeNiSe3 structure.

It has space group P2_1/m (No. 11), with a = 8.884 Å, b = 3.742 Å, c = 9.842 Å, α = 90.00°, β = 113.85° and γ = 90.00°. The inequivalent atoms are Cs at (0.016, 0.250, 0.265), Fe at (0.481, 0.750, 0.394), Ni at (0.467, 0.250, 0.145), Se at (0.286, 0.750, 0.143), Se at (0.332, 0.750, 0.557) and Se at (0.363, 0.250, 0.871).

For the raw total energy, the calculation gives -4.649 eV/atom.

---

DFT (GGA-PBE) results for a geometry-optimized CsFeOs structure.

It has space group F-43m (No. 216), with a = 6.410 Å, b = 6.410 Å, c = 6.410 Å, α = 90.00°, β = 90.00° and γ = 90.00°. The inequivalent atoms are Cs at (0.000, 0.000, 0.000), Fe at (0.000, 0.000, 0.500) and Os at (0.250, 0.250, 0.250).

For the raw total energy, the calculation gives -4.633 eV/atom.

---

DFT (GGA-PBE) results for a geometry-optimized CsFe3P5 structure.

It has space group P6/mmm (No. 191), with a = 4.9061 Å, b = 4.9061 Å, c = 8.4653 Å, α = 90.00°, β = 90.00° and γ = 120.00°. The inequivalent atoms are Cs at (0.0000, 0.0000, 0.0000), Fe at (0.0000, 0.5000, 0.5000), P at (0.0000, 0.0000, 0.5000) and P at (0.3333, 0.6667, 0.2911).

For the raw total energy, the calculation gives -6.016 eV/atom.

---

DFT (GGA-PBE) results for a geometry-optimized CsFe3Pb5 structure.

It has space group P6/mmm (No. 191), with a = 5.5011 Å, b = 5.5011 Å, c = 9.6718 Å, α = 90.00°, β = 90.00° and γ = 120.00°. The inequivalent atoms are Cs at (0.0000, 0.0000, 0.0000), Fe at (0.0000, 0.5000, 0.5000), Pb at (0.0000, 0.0000, 0.5000) and Pb at (0.3333, 0.6667, 0.2533).

For the raw total energy, the calculation gives -4.804 eV/atom.